1.
# PmEr7Tl4

A relaxed PmEr7Tl4 crystal (PBE-GGA, Alexandria via LeMat-Bulk).

Cell lengths 14.6948, 5.7084, 10.0880 Å; angles 90.00, 122.74, 90.00 degrees
With the nearest neighbours (Å) after each atom.
Space group C2/m (No. 12)
Symmetry-distinct sites (fractional):
Pm: 0.0000 0.0000 0.0000  2 Er 2.85
Er: 0.0000 0.5000 0.0000  2 Pm 2.85, 4 Tl 2.98-3.15
Er: 0.0649 0.0000 0.4022  3 Tl 3.16-3.27, 3 Er 3.41-3.47
Er: 0.2081 0.0000 0.8781  4 Tl 3.27-3.50, 5 Er 3.44-3.64
Er: 0.2319 0.5000 0.6750  4 Tl 2.97-3.12
Tl: 0.0580 0.5000 0.7413  4 Er 2.97-3.27, 1 Tl 3.23
Tl: 0.1856 0.5000 0.3351  6 Er 2.98-3.27, 1 Tl 3.23

Summary:
- density (g/cm³) = 10.0
- M_tot (μB per cell) = 0.000
- final energy (eV per atom) = -3.844
- DOS at the Fermi energy (states/eV/atom) = 1.0613

2.
# PmErTl2

A relaxed PmErTl2 crystal (PBE-GGA, Alexandria via LeMat-Bulk).

Cell lengths 3.8211, 3.8211, 7.6348 Å; angles 90.00, 90.00, 90.00 degrees
With the nearest neighbours (Å) after each atom.
Space group P4/mmm (No. 123)
Symmetry-distinct sites (fractional):
Pm: 0.0000 0.0000 0.0000  8 Tl 3.36
Er: 0.0000 0.0000 0.5000  8 Tl 3.26
Tl: 0.5000 0.5000 0.2616  4 Er 3.26, 4 Pm 3.36, 1 Tl 3.64

Summary:
- density (g/cm³) = 10.7
- M_tot (μB per cell) = 0.000
- final energy (eV per atom) = -3.868
- DOS at the Fermi energy (states/eV/atom) = 0.7193

3.
# PmEr3Tl3

A relaxed PmEr3Tl3 crystal (PBE-GGA, Alexandria via LeMat-Bulk).

Cell lengths 9.3385, 9.3385, 9.3385 Å; angles 90.00, 90.00, 90.00 degrees
With the nearest neighbours (Å) after each atom.
Space group P2_13 (No. 198)
Symmetry-distinct sites (fractional):
Pm: 0.0682 0.4318 0.5682  6 Tl 3.18-3.41, 3 Er 3.55
Er: 0.0841 0.5841 0.9159  6 Tl 3.12-3.35
Er: 0.1775 0.1775 0.1775  6 Tl 3.12-3.29
Er: 0.1806 0.8194 0.3194  6 Tl 3.13-3.29
Tl: 0.0006 0.2617 0.8841  6 Er 3.12-3.35, 2 Pm 3.18-3.41

Summary:
- density (g/cm³) = 10.3
- M_tot (μB per cell) = 0.000
- final energy (eV per atom) = -3.887
- DOS at the Fermi energy (states/eV/atom) = 1.2311
- polymorph energy (0 for the lowest one) (eV per atom) = 0.003

4.
# Pm3Er8Tl

A relaxed Pm3Er8Tl crystal (PBE-GGA, Alexandria via LeMat-Bulk).

Cell lengths 8.6250, 8.6250, 11.2367 Å; angles 90.00, 90.00, 90.00 degrees
With the nearest neighbours (Å) after each atom.
Space group I-42m (No. 121)
Symmetry-distinct sites (fractional):
Pm: 0.0000 0.0000 0.0000  8 Er 3.03-3.16
Pm: 0.0000 0.5000 0.2500  4 Er 3.40
Er: 0.1269 0.1269 0.7553  3 Er 3.09-3.28, 3 Pm 3.16-3.40, 1 Tl 3.26
Er: 0.2476 0.2476 0.0163  1 Pm 3.03, 1 Tl 3.08, 2 Er 3.09-3.28
Tl: 0.0000 0.0000 0.5000  8 Er 3.08-3.26

Summary:
- density (g/cm³) = 7.9
- M_tot (μB per cell) = 0.000
- final energy (eV per atom) = -3.895
- DOS at the Fermi energy (states/eV/atom) = 1.4801

Look up the density of the third one.
10.3 g/cm³

Which value of density does entry 1 give?
10.0 g/cm³

Which value of density does entry 4 give?
7.9 g/cm³